This record from Alexandria via LeMat-Bulk describes an optimized crystal structure of NiHgS. The functional is PBE.

Calculated values
Energy above the lowest structure with this stoichiometry, kJ/mol of formula units: 74
Magnetization, μB per formula unit: 0.000
Formation energy (no corrections), kJ per mole of atoms: 6.1
Raw total energy, eV per atom: -3.34
SG: No. 38

Lattice parameters (Å, degrees): 3.487 3.496 9.803 90.00 90.00 119.92
Element x y z (fractional)
Ni 0.777 0.555 0.621
Ni 0.777 0.555 0.379
Hg 0.111 0.223 0.809
Hg 0.111 0.223 0.191
S 0.444 0.888 0.500
S 0.445 0.891 0.000